A plane-wave DFT calculation with PBE was carried out for a relaxed NaCeMgBr6 crystal.

The crystal system is trigonal. Its energy relative to the elements, uncorrected is -1.63 eV/atom. The density of states at the Fermi level is 16.24 states/eV per cell. Its total moment is 2.00 Bohr magnetons per cell.

Unit cell a=7.203 b=7.203 c=13.314 alpha=90.00 beta=90.00 gamma=120.00
Positions (direct):
Na 0.000 0.000 0.000
Na 0.000 0.000 0.500
Ce 0.333 0.667 0.250
Ce 0.667 0.333 0.750
Mg 0.333 0.667 0.750
Mg 0.667 0.333 0.250
Br 0.023 0.365 0.631
Br 0.023 0.659 0.869
Br 0.341 0.365 0.869
Br 0.341 0.977 0.631
Br 0.365 0.023 0.131
Br 0.365 0.341 0.369
Br 0.635 0.659 0.631
Br 0.635 0.977 0.869
Br 0.659 0.023 0.369
Br 0.659 0.635 0.131
Br 0.977 0.341 0.131
Br 0.977 0.635 0.369